Below is LiNbCoO4 after structural relaxation, with properties calculated at the PBE with a Hubbard U level.

abc: 6.0313 6.1949 8.7923
angles: 90.00 90.00 90.00
Space group Imma (No. 74)
Unique sites:
Li  0.0000  0.2500  0.1420 [4 per cell]
Nb  0.0000  0.0000  0.5000 [4 per cell]
Co  0.2500  0.2500  0.7500 [4 per cell]
O  0.0000  0.0199  0.7262 [8 per cell]
O  0.2228  0.2500  0.4962 [8 per cell]

Results
The volume comes out at 328.5 Å³ per cell. The calculation puts the relative energy among the computed polymorphs at 61 meV per atom. The crystal system is orthorhombic. The total energy is -204.0 eV per cell. The value obtained for the magnetic moment is 11.98 μB/cell.